Compound: Fe4H14O13
Source: the Alexandria database
Functional: PBE+U
Structure: optimized geometry

Cell: 6.590 6.913 6.921 Å, 97.59 116.42 111.04°
Space group P-1 (No. 2)
Symmetry-distinct sites (fractional):
1 Fe 0.000 0.000 0.000
2 Fe 0.000 0.500 0.500
3 Fe 0.500 0.000 0.500
4 Fe 0.500 0.500 0.000
5 H 0.032 0.237 0.698
6 H 0.093 0.412 0.034
7 H 0.229 0.603 0.320
8 H 0.280 0.956 0.806
9 H 0.289 0.819 0.982
10 H 0.314 0.177 0.652
11 H 0.416 0.329 0.277
12 O 0.000 0.500 0.000
13 O 0.166 0.360 0.688
14 O 0.168 0.961 0.272
15 O 0.170 0.842 0.847
16 O 0.288 0.302 0.115
17 O 0.304 0.667 0.488
18 O 0.442 0.130 0.740

Output
Size of the total moment: 15.93 μB/cell
Relative energy among the computed polymorphs: 0.122 eV per atom
E_tot: -165.4 eV/cell